[1]
Below is an optimized crystal structure of V8Ni2C, with properties calculated at the PBE level.

Lattice parameters (Å, degrees): 7.0687 7.0687 5.1011 102.38 102.38 33.08
Fractional coordinates of all 11 atoms:
1 V 0.0067 0.0067 0.2494
2 V 0.2163 0.2163 0.0810
3 V 0.3696 0.3696 0.7600
4 V 0.4113 0.4113 0.2968
5 V 0.5887 0.5887 0.7032
6 V 0.6304 0.6304 0.2400
7 V 0.7837 0.7837 0.9190
8 V 0.9933 0.9933 0.7506
9 Ni 0.1860 0.1860 0.5673
10 Ni 0.8140 0.8140 0.4327
11 C 0.5000 0.5000 0.0000

Results
* mass density: 6.6 g cm⁻³
* energy of formation from the pure elements: -0.23 eV/f.u.
* space group: C2/m (12)

---

[2]
Below is an optimized crystal structure of NaIn2Cu, with properties calculated at the PBE level.

Lattice parameters (Å, degrees): 5.8787 5.8787 5.8787 46.23 46.23 46.23
Fractional coordinates of all 4 atoms:
1 Na 0.0000 0.0000 0.0000
2 In 0.5536 0.5536 0.5536
3 In 0.7879 0.7879 0.7879
4 Cu 0.1860 0.1860 0.1860

Results
* mass density: 5.4 g cm⁻³
* energy of formation from the pure elements: 0.01 eV/f.u.
* space group: R3m (160)

---

[3]
Below is an optimized crystal structure of Na3NdBr6, with properties calculated at the PBE level.

Lattice parameters (Å, degrees): 8.0499 8.0499 8.0499 55.61 55.61 55.61
Fractional coordinates of all 10 atoms:
1 Na 0.0000 0.0000 0.0000
2 Na 0.1984 0.1984 0.1984
3 Na 0.4949 0.4949 0.4949
4 Nd 0.6911 0.6911 0.6911
5 Br 0.0794 0.4189 0.7943
6 Br 0.2977 0.8995 0.6004
7 Br 0.4189 0.7943 0.0794
8 Br 0.6004 0.2977 0.8995
9 Br 0.7943 0.0794 0.4189
10 Br 0.8995 0.6004 0.2977

Results
* distance to the lowest polymorph of the same formula: 0 meV/atom
* E_form (uncorrected): -1.68 eV/atom
* mass density: 3.5 g cm⁻³
* space group: R3 (146)

---

[4]
Below is an optimized crystal structure of Tb11Tl9Ir4, with properties calculated at the PBE level.

Lattice parameters (Å, degrees): 13.2764 13.2764 3.7387 90.00 90.00 112.41
Fractional coordinates of all 24 atoms:
1 Tb 0.0000 0.0000 0.0000
2 Tb 0.0839 0.4179 0.0000
3 Tb 0.1632 0.8368 0.0000
4 Tb 0.3119 0.3119 0.0000
5 Tb 0.3741 0.6259 0.0000
6 Tb 0.4179 0.0839 0.0000
7 Tb 0.5821 0.9161 0.0000
8 Tb 0.6259 0.3741 0.0000
9 Tb 0.6881 0.6881 0.0000
10 Tb 0.8368 0.1632 0.0000
11 Tb 0.9161 0.5821 0.0000
12 Tl 0.0690 0.2153 0.5000
13 Tl 0.1516 0.6318 0.5000
14 Tl 0.2153 0.0690 0.5000
15 Tl 0.3682 0.8484 0.5000
16 Tl 0.5000 0.5000 0.5000
17 Tl 0.6318 0.1516 0.5000
18 Tl 0.7847 0.9310 0.5000
19 Tl 0.8484 0.3682 0.5000
20 Tl 0.9310 0.7847 0.5000
21 Ir 0.2492 0.4500 0.5000
22 Ir 0.4500 0.2492 0.5000
23 Ir 0.5500 0.7508 0.5000
24 Ir 0.7508 0.5500 0.5000

Results
* mass density: 11.9 g cm⁻³
* energy of formation from the pure elements: -12.89 eV/f.u.
* space group: Cmmm (65)

---

[5]
Below is an optimized crystal structure of SmZrTl, with properties calculated at the PBE level.

Lattice parameters (Å, degrees): 13.8467 13.8467 13.8467 165.41 165.41 20.68
Fractional coordinates of all 6 atoms:
1 Sm 0.0666 0.0666 0.0000
2 Sm 0.9334 0.9334 0.0000
3 Zr 0.2146 0.2146 0.0000
4 Zr 0.7854 0.7854 0.0000
5 Tl 0.3575 0.3575 0.0000
6 Tl 0.6425 0.6425 0.0000

Results
* distance to the lowest polymorph of the same formula: 0 meV/atom
* mass density: 8.8 g cm⁻³
* energy of formation from the pure elements: -0.10 eV/f.u.
* space group: I4/mmm (139)

---

[6]
Below is an optimized crystal structure of MgNbCl2, with properties calculated at the PBE level.

Lattice parameters (Å, degrees): 6.9848 6.9848 6.9848 130.91 130.91 71.95
Fractional coordinates of all 8 atoms:
1 Mg 0.0000 0.0000 0.0000
2 Mg 0.7500 0.2500 0.5000
3 Nb 0.2500 0.7500 0.5000
4 Nb 0.5000 0.5000 0.0000
5 Cl 0.1036 0.6250 0.9786
6 Cl 0.3750 0.3536 0.4786
7 Cl 0.6464 0.1250 0.0214
8 Cl 0.8750 0.8964 0.5214

Results
* distance to the lowest polymorph of the same formula: 695 meV/atom
* E_form (uncorrected): 0.06 eV/atom
* mass density: 3.3 g cm⁻³
* space group: I-42d (122)